# 1
# Cs2BaVRe PBE relaxed
data_Cs2BaVRe
_chemical_formula_sum 'Cs2 Ba1 V1 Re1'
_cell_length_a 5.988
_cell_length_b 6.087
_cell_length_c 5.988
_cell_angle_alpha 90.00
_cell_angle_beta 90.00
_cell_angle_gamma 90.00
_symmetry_space_group_name_H-M 'P 1'
_symmetry_Int_Tables_number 1
loop_
_symmetry_equiv_pos_as_xyz
'x,y,z'
loop_
_atom_site_label
_atom_site_type_symbol
_atom_site_fract_x
_atom_site_fract_y
_atom_site_fract_z
_atom_site_occupancy
Cs1 Cs 0.000 0.000 0.500 1
Cs2 Cs 0.500 0.000 0.000 1
Re1 Re 0.000 0.000 0.000 1
Ba1 Ba 0.000 0.500 0.000 1
V1 V 0.500 0.500 0.500 1
# N(E_F)   2.091 states/eV per atom
# ΔH_f (0 K)   1.85 eV/atom



# 2
# MoPt7 PBE relaxed
data_MoPt7
_chemical_formula_sum 'Mo1 Pt7'
_cell_length_a 3.974
_cell_length_b 3.974
_cell_length_c 8.408
_cell_angle_alpha 103.67
_cell_angle_beta 103.67
_cell_angle_gamma 90.00
_symmetry_space_group_name_H-M 'P 1'
_symmetry_Int_Tables_number 1
loop_
_symmetry_equiv_pos_as_xyz
'x,y,z'
loop_
_atom_site_label
_atom_site_type_symbol
_atom_site_fract_x
_atom_site_fract_y
_atom_site_fract_z
_atom_site_occupancy
Mo1 Mo 0.000 0.000 0.000 1
Pt1 Pt 0.879 0.379 0.759 1
Pt2 Pt 0.747 0.747 0.495 1
Pt3 Pt 0.621 0.121 0.241 1
Pt4 Pt 0.500 0.500 0.000 1
Pt5 Pt 0.379 0.879 0.759 1
Pt6 Pt 0.253 0.253 0.505 1
Pt7 Pt 0.121 0.621 0.241 1
# N(E_F)   1.539 states/eV per atom
# ΔH_f (0 K)   -0.16 eV/atom



# 3
# LiCd3Ag6 PBE relaxed
data_LiCd3Ag6
_chemical_formula_sum 'Li2 Cd6 Ag12'
_cell_length_a 4.257
_cell_length_b 9.241
_cell_length_c 9.422
_cell_angle_alpha 92.25
_cell_angle_beta 90.00
_cell_angle_gamma 90.00
_symmetry_space_group_name_H-M 'P 1'
_symmetry_Int_Tables_number 1
loop_
_symmetry_equiv_pos_as_xyz
'x,y,z'
loop_
_atom_site_label
_atom_site_type_symbol
_atom_site_fract_x
_atom_site_fract_y
_atom_site_fract_z
_atom_site_occupancy
Li1 Li 0.250 0.948 0.607 1
Li2 Li 0.750 0.052 0.393 1
Cd1 Cd 0.250 0.552 0.400 1
Cd2 Cd 0.750 0.448 0.600 1
Cd3 Cd 0.250 0.346 0.799 1
Cd4 Cd 0.750 0.654 0.201 1
Cd5 Cd 0.250 0.755 0.994 1
Cd6 Cd 0.750 0.245 0.006 1
Ag1 Ag 0.250 0.449 0.101 1
Ag2 Ag 0.750 0.551 0.899 1
Ag3 Ag 0.250 0.147 0.204 1
Ag4 Ag 0.750 0.853 0.796 1
Ag5 Ag 0.250 0.656 0.697 1
Ag6 Ag 0.750 0.344 0.303 1
Ag7 Ag 0.250 0.235 0.497 1
Ag8 Ag 0.750 0.765 0.503 1
Ag9 Ag 0.250 0.861 0.311 1
Ag10 Ag 0.750 0.139 0.689 1
Ag11 Ag 0.250 0.049 0.895 1
Ag12 Ag 0.750 0.951 0.105 1
# N(E_F)   0.308 states/eV per atom
# ΔH_f (0 K)   -0.08 eV/atom



# 4
# In2ReIr PBE relaxed
data_In2ReIr
_chemical_formula_sum 'In2 Re1 Ir1'
_cell_length_a 4.914
_cell_length_b 4.914
_cell_length_c 2.958
_cell_angle_alpha 90.00
_cell_angle_beta 90.00
_cell_angle_gamma 101.75
_symmetry_space_group_name_H-M 'P 1'
_symmetry_Int_Tables_number 1
loop_
_symmetry_equiv_pos_as_xyz
'x,y,z'
loop_
_atom_site_label
_atom_site_type_symbol
_atom_site_fract_x
_atom_site_fract_y
_atom_site_fract_z
_atom_site_occupancy
In1 In 0.000 0.000 0.000 1
In2 In 0.500 0.500 0.000 1
Ir1 Ir 0.500 0.000 0.500 1
Re1 Re 0.000 0.500 0.500 1
# N(E_F)   0.884 states/eV per atom
# ΔH_f (0 K)   0.43 eV/atom